A relaxed Na6Ag2Au crystal. Source: Alexandria, functional PBE.

Summary:
* energy of formation from the pure elements: -0.09 eV per atom
* magnetization: 0.00 μB per atom
* distance to the lowest polymorph of the same formula: 0.000 eV/atom

a = 5.1576 Å, b = 5.1576 Å, c = 31.1987 Å
α = 90.00°, β = 90.00°, γ = 120.00°
Space group R-3m (No. 166, hexagonal axes)
One atom of each set of equivalent atoms:
1 Na 0.0000 0.0000 0.0811 x6
2 Na 0.0000 0.0000 0.1972 x6
3 Na 0.0000 0.0000 0.3094 x6
4 Ag 0.0000 0.0000 0.4104 x6
5 Au 0.0000 0.0000 0.5000 x3